# RbSbCl2

An optimized crystal structure of RbSbCl2 (GGA-PBEsol, Alexandria). Values from VASP.

Quantum ESPRESSO input file:
```
&SYSTEM
  ibrav = 0, nat = 4, ntyp = 3
/
ATOMIC_SPECIES
Rb 85.47 Rb.upf
Sb 121.76 Sb.upf
Cl 35.45 Cl.upf
ATOMIC_POSITIONS angstrom
Rb 0.000 0.000 0.000
Sb 0.000 0.000 15.616
Cl 0.000 0.000 2.915
Cl 0.000 0.000 28.318
CELL_PARAMETERS angstrom
1.785 1.031 10.411
-1.785 1.031 10.411
0.000 -2.061 10.411
```

- Space group: R-3m, No. 166
- Crystal system: trigonal
- Formation energy without anion corrections: -1.9 eV per formula unit

# K4Si23

An optimized crystal structure of K4Si23 (GGA-PBEsol, Alexandria). Values from VASP.

Quantum ESPRESSO input file:
```
&SYSTEM
  ibrav = 0, nat = 54, ntyp = 2
/
ATOMIC_SPECIES
K 39.10 K.upf
Si 28.09 Si.upf
ATOMIC_POSITIONS angstrom
K 0.000 0.000 0.000
K 0.000 2.565 5.129
K 0.000 7.694 5.129
K 2.565 5.129 0.000
K 5.129 0.000 2.565
K 5.129 0.000 7.694
K 5.129 5.129 5.129
K 7.694 5.129 0.000
Si 0.000 3.148 1.212
Si 0.000 3.148 9.047
Si 0.000 5.129 2.565
Si 0.000 5.129 7.694
Si 0.000 7.111 1.212
Si 0.000 7.111 9.047
Si 1.212 0.000 3.148
Si 1.212 0.000 7.111
Si 1.895 1.895 1.895
Si 1.895 1.895 8.364
Si 1.895 8.364 1.895
Si 1.895 8.364 8.364
Si 1.981 5.129 3.918
Si 1.981 5.129 6.341
Si 2.565 0.000 5.129
Si 3.148 1.212 0.000
Si 3.148 9.047 0.000
Si 3.234 3.234 3.234
Si 3.234 3.234 7.024
Si 3.234 7.024 3.234
Si 3.234 7.024 7.024
Si 3.918 1.981 5.129
Si 3.918 8.277 5.129
Si 5.129 2.565 0.000
Si 5.129 3.918 1.981
Si 5.129 3.918 8.277
Si 5.129 6.341 1.981
Si 5.129 6.341 8.277
Si 5.129 7.694 0.000
Si 6.341 1.981 5.129
Si 6.341 8.277 5.129
Si 7.024 3.234 3.234
Si 7.024 3.234 7.024
Si 7.024 7.024 3.234
Si 7.024 7.024 7.024
Si 7.111 1.212 0.000
Si 7.111 9.047 0.000
Si 7.694 0.000 5.129
Si 8.277 5.129 3.918
Si 8.277 5.129 6.341
Si 8.364 1.895 1.895
Si 8.364 1.895 8.364
Si 8.364 8.364 1.895
Si 8.364 8.364 8.364
Si 9.047 0.000 3.148
Si 9.047 0.000 7.111
CELL_PARAMETERS angstrom
10.259 0.000 0.000
0.000 10.259 0.000
0.000 0.000 10.259
```

- Space group: Pm-3n, No. 223
- Crystal system: cubic
- Formation energy without anion corrections: -1.4 eV per formula unit

# NdMn12

An optimized crystal structure of NdMn12 (GGA-PBEsol, Alexandria). Values from VASP.

Quantum ESPRESSO input file:
```
&SYSTEM
  ibrav = 0, nat = 13, ntyp = 2
/
ATOMIC_SPECIES
Nd 144.24 Nd.upf
Mn 54.94 Mn.upf
ATOMIC_POSITIONS angstrom
Nd 0.000 0.000 0.000
Mn 2.060 2.060 -1.126
Mn 3.010 0.000 0.000
Mn 2.060 -2.060 1.126
Mn 5.228 0.000 0.000
Mn 4.119 2.225 0.000
Mn 0.000 3.010 0.000
Mn -2.060 2.060 1.126
Mn 2.225 4.119 0.000
Mn 2.060 2.060 1.126
Mn 1.894 0.000 2.252
Mn 0.000 5.228 0.000
Mn 0.000 1.894 2.252
CELL_PARAMETERS angstrom
-4.119 4.119 2.252
4.119 -4.119 2.252
4.119 4.119 -2.252
```

- Space group: I4/mmm, No. 139
- Crystal system: tetragonal
- E_form: 1.11 eV per formula unit

# Sr4Cu

An optimized crystal structure of Sr4Cu (GGA-PBEsol, Alexandria). Values from VASP.

Quantum ESPRESSO input file:
```
&SYSTEM
  ibrav = 0, nat = 5, ntyp = 2
/
ATOMIC_SPECIES
Sr 87.62 Sr.upf
Cu 63.55 Cu.upf
ATOMIC_POSITIONS angstrom
Sr 2.548 0.650 0.000
Sr 4.407 -2.509 1.961
Sr 0.650 7.566 0.000
Sr 2.509 4.407 1.961
Cu 0.000 0.000 1.961
CELL_PARAMETERS angstrom
-5.057 5.057 1.961
5.057 -5.057 1.961
5.057 5.057 -1.961
```

- Space group: I4/m, No. 87
- Crystal system: tetragonal
- E_form: 0.34 eV per formula unit
- Energy above the most stable polymorph in this dataset: 0 meV/atom

- Which formula does entry 4 have?
  Sr4Cu